The following is a DFT calculation (PBE) of a relaxed Hf5Zr5Ga6 crystal.

Structure (CIF):
```
data_Hf5Zr5Ga6
_chemical_formula_sum 'Hf5 Zr5 Ga6'
_cell_length_a 8.048
_cell_length_b 8.048
_cell_length_c 5.743
_cell_angle_alpha 90.00
_cell_angle_beta 90.00
_cell_angle_gamma 119.76
_space_group_name_H-M_alt 'P 1'
_space_group_IT_number 1
_space_group_name_Hall 'P 1'
loop_
_atom_site_label
_atom_site_type_symbol
_atom_site_fract_x
_atom_site_fract_y
_atom_site_fract_z
Hf1 Hf 0.333 0.667 0.250
Hf2 Hf 0.667 0.333 0.250
Hf3 Hf 0.667 0.333 0.750
Hf4 Hf 0.333 0.667 0.750
Hf5 Hf 0.245 0.245 0.500
Zr1 Zr 0.759 0.000 0.500
Zr2 Zr 0.000 0.759 0.500
Zr3 Zr 0.755 0.755 0.000
Zr4 Zr 0.241 0.000 0.000
Zr5 Zr 0.000 0.241 0.000
Ga1 Ga 0.605 0.605 0.500
Ga2 Ga 0.394 0.001 0.500
Ga3 Ga 0.001 0.394 0.500
Ga4 Ga 0.394 0.394 0.000
Ga5 Ga 0.605 0.000 0.000
Ga6 Ga 0.000 0.605 0.000
```

SG = Amm2, No. 38
Density = 9086 kg/m3
DFT formation energy = -0.48 eV per atom

The following is a DFT calculation (PBE) of a relaxed HfZrGa crystal.

Structure (CIF):
```
data_HfZrGa
_chemical_formula_sum 'Hf2 Zr2 Ga2'
_cell_length_a 4.300
_cell_length_b 4.300
_cell_length_c 6.893
_cell_angle_alpha 90.00
_cell_angle_beta 90.00
_cell_angle_gamma 90.00
_space_group_name_H-M_alt 'P 1'
_space_group_IT_number 1
_space_group_name_Hall 'P 1'
loop_
_atom_site_label
_atom_site_type_symbol
_atom_site_fract_x
_atom_site_fract_y
_atom_site_fract_z
Zr1 Zr 0.000 0.500 0.719
Zr2 Zr 0.500 0.000 0.281
Ga1 Ga 0.500 0.500 0.000
Ga2 Ga 0.000 0.000 0.000
Hf1 Hf 0.500 0.000 0.728
Hf2 Hf 0.000 0.500 0.272
```

SG = P4/nmm, No. 129
Density = 8843 kg/m3
DFT formation energy = -0.05 eV per atom

The following is a DFT calculation (PBE) of a relaxed HfZr2Ga9 crystal.

Structure (CIF):
```
data_HfZr2Ga9
_chemical_formula_sum 'Hf1 Zr2 Ga9'
_cell_length_a 4.117
_cell_length_b 4.117
_cell_length_c 12.365
_cell_angle_alpha 90.00
_cell_angle_beta 90.00
_cell_angle_gamma 90.00
_space_group_name_H-M_alt 'P 1'
_space_group_IT_number 1
_space_group_name_Hall 'P 1'
loop_
_atom_site_label
_atom_site_type_symbol
_atom_site_fract_x
_atom_site_fract_y
_atom_site_fract_z
Hf1 Hf 0.000 0.000 0.000
Zr1 Zr 0.000 0.000 0.333
Zr2 Zr 0.000 0.000 0.667
Ga1 Ga 0.500 0.500 0.000
Ga2 Ga 0.500 0.500 0.333
Ga3 Ga 0.500 0.500 0.667
Ga4 Ga 0.500 0.000 0.165
Ga5 Ga 0.500 0.000 0.500
Ga6 Ga 0.500 0.000 0.835
Ga7 Ga 0.000 0.500 0.165
Ga8 Ga 0.000 0.500 0.500
Ga9 Ga 0.000 0.500 0.835
```

SG = P4/mmm, No. 123
Density = 7833 kg/m3
DFT formation energy = -0.43 eV per atom

The following is a DFT calculation (PBE) of a relaxed Hf2ZrGa crystal.

Structure (CIF):
```
data_Hf2ZrGa
_chemical_formula_sum 'Hf4 Zr2 Ga2'
_cell_length_a 4.137
_cell_length_b 4.058
_cell_length_c 10.296
_cell_angle_alpha 90.00
_cell_angle_beta 101.58
_cell_angle_gamma 90.00
_space_group_name_H-M_alt 'P 1'
_space_group_IT_number 1
_space_group_name_Hall 'P 1'
loop_
_atom_site_label
_atom_site_type_symbol
_atom_site_fract_x
_atom_site_fract_y
_atom_site_fract_z
Hf1 Hf 0.564 0.250 0.127
Hf2 Hf 0.436 0.750 0.873
Hf3 Hf 0.057 0.750 0.113
Hf4 Hf 0.943 0.250 0.887
Zr1 Zr 0.695 0.750 0.390
Zr2 Zr 0.305 0.250 0.610
Ga1 Ga 0.166 0.250 0.332
Ga2 Ga 0.834 0.750 0.668
```

SG = P2_1/m, No. 11
Density = 10159 kg/m3
DFT formation energy = -0.23 eV per atom

The following is a DFT calculation (PBE) of a relaxed HfZrGa2 crystal.

Structure (CIF):
```
data_HfZrGa2
_chemical_formula_sum 'Hf2 Zr2 Ga4'
_cell_length_a 7.431
_cell_length_b 7.431
_cell_length_c 6.018
_cell_angle_alpha 51.87
_cell_angle_beta 51.87
_cell_angle_gamma 90.00
_space_group_name_H-M_alt 'P 1'
_space_group_IT_number 1
_space_group_name_Hall 'P 1'
loop_
_atom_site_label
_atom_site_type_symbol
_atom_site_fract_x
_atom_site_fract_y
_atom_site_fract_z
Hf1 Hf 0.000 0.000 0.000
Hf2 Hf 0.750 0.250 0.500
Ga1 Ga 0.627 0.125 0.250
Ga2 Ga 0.123 0.625 0.250
Ga3 Ga 0.375 0.373 0.750
Ga4 Ga 0.875 0.877 0.750
Zr1 Zr 0.500 0.500 0.000
Zr2 Zr 0.250 0.750 0.500
```

SG = I-42d, No. 122
Density = 8388 kg/m3
DFT formation energy = -0.17 eV per atom

The following is a DFT calculation (PBE) of a relaxed Hf2ZrGa crystal.

Structure (CIF):
```
data_Hf2ZrGa
_chemical_formula_sum 'Hf2 Zr1 Ga1'
_cell_length_a 4.866
_cell_length_b 4.866
_cell_length_c 4.866
_cell_angle_alpha 60.00
_cell_angle_beta 60.00
_cell_angle_gamma 60.00
_space_group_name_H-M_alt 'P 1'
_space_group_IT_number 1
_space_group_name_Hall 'P 1'
loop_
_atom_site_label
_atom_site_type_symbol
_atom_site_fract_x
_atom_site_fract_y
_atom_site_fract_z
Hf1 Hf 0.250 0.250 0.250
Hf2 Hf 0.750 0.750 0.750
Ga1 Ga 0.000 0.000 0.000
Zr1 Zr 0.500 0.500 0.500
```

SG = Fm-3m, No. 225
Density = 10558 kg/m3
DFT formation energy = -0.06 eV per atom